Record 1
Compound: Li2PrZn2Ga2
Source: the Alexandria database
Functional: PBE
Structure: relaxed

a = 7.4985 Å, b = 4.3510 Å, c = 8.3677 Å
α = 90.00°, β = 107.92°, γ = 90.00°
Space group C2/m (No. 12)
One atom of each set of equivalent atoms:
1 Li 0.1436 0.0000 0.4264 (multiplicity 4)
2 Pr 0.0000 0.0000 0.0000 (multiplicity 2)
3 Zn 0.0618 0.5000 0.6880 (multiplicity 4)
4 Ga 0.2465 0.5000 0.2380 (multiplicity 4)

Calculated formation energy, eV/atom: -0.37

---

Record 2
Compound: K2LaHg2
Source: the Alexandria database
Functional: PBE
Structure: relaxed

a = 8.2017 Å, b = 8.2017 Å, c = 5.7604 Å
α = 90.00°, β = 90.00°, γ = 90.00°
Space group P4/mbm (No. 127)
One atom of each set of equivalent atoms:
1 K 0.1689 0.3311 0.0000 (multiplicity 4)
2 La 0.0000 0.0000 0.5000 (multiplicity 2)
3 Hg 0.1282 0.6282 0.5000 (multiplicity 4)

Calculated formation energy, eV/atom: -0.08

---

Record 3
Compound: LiHo2Sn
Source: the Alexandria database
Functional: PBE
Structure: relaxed

a = 4.8749 Å, b = 4.8749 Å, c = 4.2461 Å
α = 90.00°, β = 90.00°, γ = 90.00°
Space group P4/mmm (No. 123)
One atom of each set of equivalent atoms:
1 Li 0.0000 0.0000 0.0000 (multiplicity 1)
2 Ho 0.0000 0.5000 0.5000 (multiplicity 2)
3 Sn 0.5000 0.5000 0.0000 (multiplicity 1)

Calculated formation energy, eV/atom: -0.41

---

Record 4
Compound: Pm6YHoTh2
Source: the Alexandria database
Functional: PBE
Structure: relaxed

a = 9.0090 Å, b = 14.8776 Å, c = 10.4371 Å
α = 90.00°, β = 103.94°, γ = 90.00°
Space group C2/c (No. 15)
One atom of each set of equivalent atoms:
1 Pm 0.0733 0.1852 0.4503 (multiplicity 8)
2 Pm 0.0930 0.4013 0.6181 (multiplicity 8)
3 Pm 0.2032 0.2215 0.8263 (multiplicity 8)
4 Y 0.0000 0.0094 0.7500 (multiplicity 4)
5 Ho 0.0000 0.4017 0.2500 (multiplicity 4)
6 Th 0.2246 0.0417 0.0446 (multiplicity 8)

Calculated formation energy, eV/atom: 0.15

---

Record 5
Compound: CdSiSb
Source: the Alexandria database
Functional: PBE
Structure: relaxed

a = 6.7615 Å, b = 6.7615 Å, c = 6.7615 Å
α = 90.00°, β = 90.00°, γ = 90.00°
Space group F-43m (No. 216)
One atom of each set of equivalent atoms:
1 Cd 0.0000 0.0000 0.0000 (multiplicity 4)
2 Si 0.2500 0.2500 0.7500 (multiplicity 4)
3 Sb 0.0000 0.0000 0.5000 (multiplicity 4)

Formation energy without anion corrections, meV per atom: 381

---

Record 6
Compound: Mg5HgPd
Source: the Alexandria database
Functional: PBE
Structure: relaxed

a = 12.0188 Å, b = 8.0685 Å, c = 9.5346 Å
α = 90.00°, β = 120.03°, γ = 90.00°
Space group C2/c (No. 15)
One atom of each set of equivalent atoms:
1 Mg 0.0000 0.0873 0.2500 (multiplicity 4)
2 Mg 0.0201 0.3114 0.9690 (multiplicity 8)
3 Mg 0.2434 0.0275 0.6466 (multiplicity 8)
4 Hg 0.0000 0.4409 0.2500 (multiplicity 4)
5 Pd 0.0000 0.0000 0.0000 (multiplicity 4)

Calculated formation energy, eV/atom: -0.04

---

Record 7
Compound: K2PH2O6
Source: the Alexandria database
Functional: PBE
Structure: relaxed

a = 9.5282 Å, b = 5.7500 Å, c = 6.6010 Å
α = 90.00°, β = 125.63°, γ = 90.00°
Space group C2/m (No. 12)
One atom of each set of equivalent atoms:
1 K 0.2402 0.0000 0.1800 (multiplicity 4)
2 P 0.0000 0.0000 0.5000 (multiplicity 2)
3 H 0.2067 0.5000 0.3159 (multiplicity 4)
4 O 0.0327 0.1860 0.3383 (multiplicity 8)
5 O 0.2234 0.0000 0.7489 (multiplicity 4)

Final energy, eV/atom: -5.24

---

Record 8
Compound: ThAl8Cr2
Source: the Alexandria database
Functional: PBE
Structure: relaxed

a = 8.0278 Å, b = 10.9160 Å, c = 4.8640 Å
α = 90.00°, β = 104.33°, γ = 90.00°
Space group C2/m (No. 12)
One atom of each set of equivalent atoms:
1 Th 0.0000 0.0000 0.0000 (multiplicity 2)
2 Al 0.0000 0.2850 0.0000 (multiplicity 4)
3 Al 0.0922 0.5000 0.7641 (multiplicity 4)
4 Al 0.2245 0.1227 0.5971 (multiplicity 8)
5 Cr 0.0000 0.2891 0.5000 (multiplicity 4)

Calculated formation energy, eV/atom: 0.06

---

Record 9
Compound: LaSm3Er2Te6
Source: the Alexandria database
Functional: PBE
Structure: relaxed

a = 19.3025 Å, b = 4.3967 Å, c = 8.9181 Å
α = 90.00°, β = 103.31°, γ = 90.00°
Space group C2/m (No. 12)
One atom of each set of equivalent atoms:
1 La 0.0000 0.0000 0.0000 (multiplicity 2)
2 Sm 0.0000 0.0000 0.5000 (multiplicity 2)
3 Sm 0.1602 0.5000 0.8309 (multiplicity 4)
4 Er 0.1653 0.5000 0.3302 (multiplicity 4)
5 Te 0.0052 0.5000 0.2589 (multiplicity 4)
6 Te 0.1700 0.0000 0.5770 (multiplicity 4)
7 Te 0.1721 0.0000 0.0928 (multiplicity 4)

Formation energy without anion corrections, meV per atom: -1360

---

Record 10
Compound: Sr3TlAs3
Source: the Alexandria database
Functional: PBE
Structure: relaxed

a = 19.4698 Å, b = 7.1677 Å, c = 12.7770 Å
α = 90.00°, β = 90.00°, γ = 90.00°
Space group Cmce (No. 64)
One atom of each set of equivalent atoms:
1 Sr 0.0000 0.1694 0.1431 (multiplicity 8)
2 Sr 0.1767 0.1744 0.8705 (multiplicity 16)
3 Tl 0.0919 0.0000 0.5000 (multiplicity 8)
4 As 0.0000 0.2280 0.3878 (multiplicity 8)
5 As 0.1634 0.2397 0.6266 (multiplicity 16)

Calculated formation energy, eV/atom: -0.85

---

Record 11
Compound: Hf2SiS
Source: the Alexandria database
Functional: PBE
Structure: relaxed

a = 5.7922 Å, b = 5.7922 Å, c = 11.8447 Å
α = 90.00°, β = 90.00°, γ = 90.00°
Space group I-42d (No. 122)
One atom of each set of equivalent atoms:
1 Hf 0.2417 0.2500 0.1250 (multiplicity 8)
2 Si 0.0000 0.0000 0.5000 (multiplicity 4)
3 S 0.0000 0.0000 0.0000 (multiplicity 4)

Formation energy without anion corrections, meV per atom: -276

---

Record 12
Compound: PaMn2Al
Source: the Alexandria database
Functional: PBE
Structure: relaxed

a = 4.3081 Å, b = 4.3081 Å, c = 3.3100 Å
α = 90.00°, β = 90.00°, γ = 90.00°
Space group P4/mmm (No. 123)
One atom of each set of equivalent atoms:
1 Pa 0.0000 0.0000 0.0000 (multiplicity 1)
2 Mn 0.0000 0.5000 0.5000 (multiplicity 2)
3 Al 0.5000 0.5000 0.0000 (multiplicity 1)

Calculated formation energy, eV/atom: -0.14

---

Record 13
Compound: YSi2Sb
Source: the Alexandria database
Functional: PBE
Structure: relaxed

a = 7.8424 Å, b = 7.8424 Å, c = 6.0071 Å
α = 90.00°, β = 90.00°, γ = 90.00°
Space group I-42d (No. 122)
One atom of each set of equivalent atoms:
1 Y 0.0000 0.0000 0.0000 (multiplicity 4)
2 Si 0.2359 0.2500 0.6250 (multiplicity 8)
3 Sb 0.0000 0.0000 0.5000 (multiplicity 4)

Formation energy without anion corrections, meV per atom: 26

---

Record 14
Compound: Pm6Sn3Ir
Source: the Alexandria database
Functional: PBE
Structure: relaxed

a = 11.3148 Å, b = 4.1999 Å, c = 13.8180 Å
α = 90.00°, β = 111.37°, γ = 90.00°
Space group P2_1/m (No. 11)
One atom of each set of equivalent atoms:
1 Pm 0.0062 0.2500 0.3441 (multiplicity 2)
2 Pm 0.0885 0.2500 0.9108 (multiplicity 2)
3 Pm 0.2655 0.7500 0.3413 (multiplicity 2)
4 Pm 0.3498 0.7500 0.1282 (multiplicity 2)
5 Pm 0.3547 0.7500 0.7741 (multiplicity 2)
6 Pm 0.4043 0.2500 0.5715 (multiplicity 2)
7 Sn 0.1349 0.2500 0.1553 (multiplicity 2)
8 Sn 0.1653 0.7500 0.5257 (multiplicity 2)
9 Sn 0.3982 0.2500 0.9614 (multiplicity 2)
10 Ir 0.4311 0.2500 0.3030 (multiplicity 2)

Calculated formation energy, eV/atom: -0.52

---

Record 15
Compound: LaNd5Sm7
Source: the Alexandria database
Functional: PBE
Structure: relaxed

a = 6.8294 Å, b = 11.4068 Å, c = 11.9020 Å
α = 90.00°, β = 90.00°, γ = 90.00°
Space group Imm2 (No. 44)
One atom of each set of equivalent atoms:
1 La 0.0000 0.0000 0.0000 (multiplicity 2)
2 Nd 0.0000 0.5000 0.2741 (multiplicity 2)
3 Nd 0.2328 0.2319 0.8019 (multiplicity 8)
4 Sm 0.0000 0.0000 0.3057 (multiplicity 2)
5 Sm 0.0000 0.0000 0.6063 (multiplicity 2)
6 Sm 0.0000 0.3272 0.0451 (multiplicity 4)
7 Sm 0.0000 0.3318 0.5459 (multiplicity 4)
8 Sm 0.0000 0.5000 0.7901 (multiplicity 2)

Calculated formation energy, eV/atom: 0.22

---

Record 16
Compound: NaZn2TcN4
Source: the Alexandria database
Functional: PBE
Structure: relaxed

a = 6.9959 Å, b = 5.6335 Å, c = 5.4361 Å
α = 90.00°, β = 90.00°, γ = 90.00°
Space group Pmn2_1 (No. 31)
One atom of each set of equivalent atoms:
1 Na 0.0000 0.1684 0.0000 (multiplicity 2)
2 Zn 0.2451 0.3266 0.5113 (multiplicity 4)
3 Tc 0.0000 0.8102 0.5144 (multiplicity 2)
4 N 0.0000 0.1328 0.4467 (multiplicity 2)
5 N 0.0000 0.7635 0.8476 (multiplicity 2)
6 N 0.2083 0.6661 0.3817 (multiplicity 4)

Formation energy without anion corrections, meV per atom: -47

---

Record 17
Compound: KMoP4
Source: the Alexandria database
Functional: PBE
Structure: relaxed

a = 7.7212 Å, b = 7.7212 Å, c = 7.7212 Å
α = 90.00°, β = 90.00°, γ = 90.00°
Space group F-43m (No. 216)
One atom of each set of equivalent atoms:
1 K 0.0000 0.0000 0.0000 (multiplicity 4)
2 Mo 0.2500 0.2500 0.7500 (multiplicity 4)
3 P 0.1091 0.1091 0.3909 (multiplicity 16)

Calculated formation energy, eV/atom: 0.74

---

Record 18
Compound: OsAuO4
Source: the Alexandria database
Functional: PBE
Structure: relaxed

a = 5.3378 Å, b = 5.3501 Å, c = 7.4766 Å
α = 90.00°, β = 98.54°, γ = 90.00°
Space group C2/m (No. 12)
One atom of each set of equivalent atoms:
1 Os 0.0000 0.0000 0.0000 (multiplicity 2)
2 Au 0.0000 0.0000 0.5000 (multiplicity 2)
3 O 0.0493 0.0000 0.2495 (multiplicity 4)
4 O 0.2500 0.2500 0.0000 (multiplicity 4)

Formation energy without anion corrections, meV per atom: -563

---

Record 19
Compound: Sm2SiSbPt6
Source: the Alexandria database
Functional: PBE
Structure: relaxed

a = 5.5650 Å, b = 8.5747 Å, c = 8.7134 Å
α = 90.00°, β = 90.00°, γ = 90.00°
Space group Pmmn (No. 59, origin choice 2)
One atom of each set of equivalent atoms:
1 Sm 0.2500 0.0094 0.2398 (multiplicity 4)
2 Si 0.2500 0.7500 0.7430 (multiplicity 2)
3 Sb 0.2500 0.2500 0.7834 (multiplicity 2)
4 Pt 0.0024 0.2500 0.4925 (multiplicity 4)
5 Pt 0.0048 0.7500 0.9641 (multiplicity 4)
6 Pt 0.2500 0.9997 0.6101 (multiplicity 4)

Formation energy without anion corrections, meV per atom: -896

---

Record 20
Compound: Zn7Cu5
Source: the Alexandria database
Functional: PBE
Structure: relaxed

a = 11.6329 Å, b = 2.6668 Å, c = 10.8961 Å
α = 90.00°, β = 94.67°, γ = 90.00°
Space group C2/m (No. 12)
One atom of each set of equivalent atoms:
1 Zn 0.0000 0.0000 0.0000 (multiplicity 2)
2 Zn 0.0396 0.5000 0.7526 (multiplicity 4)
3 Zn 0.1810 0.0000 0.5926 (multiplicity 4)
4 Zn 0.1922 0.5000 0.1808 (multiplicity 4)
5 Cu 0.0000 0.5000 0.5000 (multiplicity 2)
6 Cu 0.1267 0.0000 0.3602 (multiplicity 4)
7 Cu 0.1709 0.5000 0.9438 (multiplicity 4)

Calculated formation energy, eV/atom: -0.03

---

Number 1: size of the total moment 0.0 μB per formula unit. Number 2: size of the total moment 0.0 μB per formula unit. Number 3: size of the total moment 0.4 μB per formula unit. Number 4: size of the total moment 0.0 μB per formula unit. Number 5: size of the total moment 0.0 μB per formula unit. Number 6: size of the total moment 0.0 μB per formula unit. Number 7: size of the total moment 3.0 μB per formula unit. Number 8: size of the total moment 3.3 μB per formula unit. Number 9: size of the total moment 0.0 μB per formula unit. Number 10: size of the total moment 0.0 μB per formula unit. Number 11: size of the total moment 0.0 μB per formula unit. Number 12: size of the total moment 1.8 μB per formula unit. Number 13: size of the total moment 0.0 μB per formula unit. Number 14: size of the total moment 0.8 μB per formula unit. Number 15: size of the total moment 0.0 μB per formula unit. Number 16: size of the total moment 0.0 μB per formula unit. Number 17: size of the total moment 3.8 μB per formula unit. Number 18: size of the total moment 0.0 μB per formula unit. Number 19: size of the total moment 0.0 μB per formula unit. Number 20: size of the total moment 0.0 μB per formula unit.